First-principles (PBE) data for CoTePb after structural relaxation, as listed in Alexandria.

* energy: -4.5868 eV per atom
* space group: No. 156
* crystal system: trigonal
* E_form (uncorrected): 0.07 eV/atom

Cell lengths 3.817, 3.817, 5.627 Å; angles 90.00, 90.00, 120.00 degrees
Positions (direct):
Co 0.000 0.000 0.968
Pb 0.667 0.333 0.265
Te 0.333 0.667 0.767

=====

First-principles (PBE) data for Hg3PdW after structural relaxation, as listed in Alexandria.

* energy of formation from the pure elements: 1323 meV per atom
* energy: -2.4869 eV per atom
* space group: No. 221
* crystal system: cubic

Cell lengths 5.292, 5.292, 5.292 Å; angles 90.00, 90.00, 90.00 degrees
Positions (direct):
Hg 0.000 0.500 0.000
Hg 0.500 0.000 0.000
Hg 0.000 0.000 0.500
W 0.000 0.000 0.000
Pd 0.500 0.500 0.500

=====

| no. | total magnetic moment (μB/atom) |
| --- | --- |
| 1 | 0.000 |
| 2 | 0.364 |